First-principles (PBE) data for crystalline KZn2Mo at its relaxed geometry, as listed in Alexandria.

Summary:
The calculation puts the volume at 20.8 Å³ per atom. For the formation energy, the calculation gives 0.928 eV/atom. The total energy comes out at -2.692 eV per atom.

CIF file:
```
data_KZn2Mo
_cell_length_a 6.935
_cell_length_b 6.935
_cell_length_c 6.935
_cell_angle_alpha 90.00
_cell_angle_beta 90.00
_cell_angle_gamma 90.00
_space_group_name_H-M_alt 'F m -3 m'
_space_group_IT_number 225
_space_group_name_Hall '-F 4 2 3'
loop_
_atom_site_label
_atom_site_type_symbol
_atom_site_fract_x
_atom_site_fract_y
_atom_site_fract_z
_atom_site_occupancy
K1 K 0.000 0.000 0.000 1
Zn1 Zn 0.250 0.250 0.250 1
Mo1 Mo 0.000 0.000 0.500 1
```